1.
Entry from Alexandria via LeMat-Bulk: a geometry-optimized KSrNiH4 structure (PBE-GGA).

POSCAR file:
```
KSrNiH4
1.0
2.557 -7.356 0.000
2.557 7.356 0.000
0.000 0.000 5.016
K Sr Ni H
2 2 2 8
Direct
0.102 0.898 0.750
0.898 0.102 0.250
0.379 0.621 0.750
0.621 0.379 0.250
0.233 0.767 0.250
0.767 0.233 0.750
0.000 0.500 0.000
0.000 0.500 0.500
0.119 0.881 0.250
0.448 0.552 0.250
0.500 0.000 0.000
0.500 0.000 0.500
0.552 0.448 0.750
0.881 0.119 0.750
```

Properties
- E_tot (eV/cell) = -47.5
- crystal system = orthorhombic
- SG = No. 63

***

2.
Entry from Alexandria via LeMat-Bulk: a geometry-optimized K2VNiH structure (PBE-GGA).

POSCAR file:
```
K2VNiH
1.0
6.473 0.000 0.000
0.000 6.473 0.000
0.000 0.000 3.403
K V Ni H
2 1 1 1
Direct
0.000 0.500 0.000
0.500 0.000 0.000
0.000 0.000 0.000
0.500 0.500 0.500
0.000 0.000 0.500
```

Properties
- E_tot (eV/cell) = -15.3
- crystal system = tetragonal
- SG = No. 123

***

3.
Entry from Alexandria via LeMat-Bulk: a geometry-optimized K2NpH2O6 structure (PBE-GGA).

POSCAR file:
```
K2NpH2O6
1.0
5.351 0.000 0.000
-2.675 4.634 0.000
0.000 0.000 5.876
K Np H O
2 1 2 6
Direct
0.333 0.667 0.351
0.667 0.333 0.649
0.000 0.000 0.000
0.333 0.667 0.823
0.667 0.333 0.177
0.179 0.359 0.807
0.179 0.821 0.807
0.359 0.179 0.193
0.641 0.821 0.807
0.821 0.179 0.193
0.821 0.641 0.193
```

Properties
- E_tot (eV/cell) = -68.6
- crystal system = trigonal
- SG = No. 164

***

4.
Entry from Alexandria via LeMat-Bulk: a geometry-optimized K2NpH12Rh3 structure (PBE-GGA).

POSCAR file:
```
K2NpH12Rh3
1.0
3.384 1.954 4.860
-3.384 1.954 4.860
0.000 -3.908 4.860
K Np H Rh
2 1 12 3
Direct
0.108 0.108 0.108
0.892 0.892 0.892
0.500 0.500 0.500
0.084 0.628 0.628
0.220 0.220 0.598
0.220 0.598 0.220
0.372 0.372 0.916
0.372 0.916 0.372
0.402 0.780 0.780
0.598 0.220 0.220
0.628 0.084 0.628
0.628 0.628 0.084
0.780 0.402 0.780
0.780 0.780 0.402
0.916 0.372 0.372
0.000 0.500 0.500
0.500 0.000 0.500
0.500 0.500 0.000
```

Properties
- E_tot (eV/cell) = -81.2
- crystal system = trigonal
- SG = No. 166

***

5.
Entry from Alexandria via LeMat-Bulk: a geometry-optimized KNpHS3 structure (PBE-GGA).

POSCAR file:
```
KNpHS3
1.0
8.792 0.000 0.000
0.000 3.701 0.000
-1.939 0.000 8.960
K Np H S
2 2 2 6
Direct
0.172 0.250 0.249
0.828 0.750 0.751
0.333 0.750 0.844
0.667 0.250 0.156
0.263 0.250 0.573
0.737 0.750 0.427
0.134 0.250 0.877
0.256 0.750 0.553
0.443 0.750 0.144
0.557 0.250 0.856
0.744 0.250 0.447
0.866 0.750 0.123
```

Properties
- E_tot (eV/cell) = -70.1
- crystal system = monoclinic
- SG = No. 11

***

6.
Entry from Alexandria via LeMat-Bulk: a geometry-optimized KH12O7 structure (PBE-GGA).

POSCAR file:
```
KH12O7
1.0
2.870 1.657 5.969
-2.870 1.657 5.969
0.000 -3.314 5.969
K H O
1 12 7
Direct
0.000 0.000 0.000
0.017 0.459 0.468
0.207 0.480 0.743
0.257 0.793 0.520
0.459 0.468 0.017
0.468 0.017 0.459
0.480 0.743 0.207
0.520 0.257 0.793
0.532 0.983 0.541
0.541 0.532 0.983
0.743 0.207 0.480
0.793 0.520 0.257
0.983 0.541 0.532
0.015 0.465 0.911
0.089 0.985 0.535
0.465 0.911 0.015
0.500 0.500 0.500
0.535 0.089 0.985
0.911 0.015 0.465
0.985 0.535 0.089
```

Properties
- E_tot (eV/cell) = -83.7
- crystal system = trigonal
- SG = No. 148

***

7.
Entry from Alexandria via LeMat-Bulk: a geometry-optimized K4HO structure (PBE-GGA).

POSCAR file:
```
K4HO
1.0
2.603 -10.971 0.000
2.603 10.971 0.000
0.000 0.000 7.314
K H O
8 2 2
Direct
0.009 0.991 0.500
0.147 0.853 0.894
0.207 0.793 0.338
0.402 0.598 0.776
0.598 0.402 0.276
0.793 0.207 0.838
0.853 0.147 0.394
0.991 0.009 0.000
0.267 0.733 0.965
0.733 0.267 0.465
0.095 0.905 0.206
0.905 0.095 0.706
```

Properties
- E_tot (eV/cell) = -31.5
- crystal system = orthorhombic
- SG = No. 36

***

8.
Entry from Alexandria via LeMat-Bulk: a geometry-optimized KH2O2 structure (PBE-GGA).

POSCAR file:
```
KH2O2
1.0
-1.457 1.457 5.046
1.457 -1.457 5.046
1.457 1.457 -5.046
K H O
1 2 2
Direct
0.000 0.000 0.000
0.250 0.750 0.500
0.750 0.250 0.500
0.321 0.321 0.000
0.679 0.679 0.000
```

Properties
- E_tot (eV/cell) = -18.4
- crystal system = tetragonal
- SG = No. 139

***

9.
Entry from Alexandria via LeMat-Bulk: a geometry-optimized KHO structure (PBE-GGA).

POSCAR file:
```
KHO
1.0
1.999 -5.358 0.000
1.999 5.358 0.000
0.000 0.000 4.006
K H O
2 2 2
Direct
0.142 0.858 0.500
0.858 0.142 0.000
0.465 0.535 0.370
0.535 0.465 0.870
0.395 0.605 0.529
0.605 0.395 0.029
```

Properties
- E_tot (eV/cell) = -26.9
- crystal system = orthorhombic
- SG = No. 36

***

10.
Entry from Alexandria via LeMat-Bulk: a geometry-optimized KH4O structure (PBE-GGA).

POSCAR file:
```
KH4O
1.0
3.566 -3.199 0.000
3.566 3.199 0.000
-3.247 0.000 4.050
K H O
1 4 1
Direct
0.000 0.000 0.000
0.069 0.069 0.562
0.489 0.489 0.685
0.511 0.511 0.315
0.931 0.931 0.438
0.500 0.500 0.500
```

Properties
- E_tot (eV/cell) = -21.2
- crystal system = monoclinic
- SG = No. 12

***

11.
Entry from Alexandria via LeMat-Bulk: a geometry-optimized KH9O5 structure (PBE-GGA).

POSCAR file:
```
KH9O5
1.0
7.203 0.000 0.000
0.000 11.067 0.000
-1.042 0.000 7.097
K H O
4 36 20
Direct
0.089 0.158 0.147
0.089 0.342 0.647
0.911 0.658 0.353
0.911 0.842 0.853
0.035 0.604 0.842
0.035 0.896 0.342
0.165 0.051 0.737
0.165 0.449 0.237
0.245 0.605 0.109
0.245 0.895 0.609
0.246 0.741 0.043
0.246 0.759 0.543
0.374 0.111 0.569
0.374 0.389 0.069
0.400 0.592 0.404
0.400 0.908 0.904
0.440 0.236 0.481
0.440 0.264 0.981
0.466 0.590 0.627
0.466 0.910 0.127
0.499 0.050 0.338
0.499 0.450 0.838
0.501 0.550 0.162
0.501 0.950 0.662
0.534 0.090 0.873
0.534 0.410 0.373
0.560 0.736 0.019
0.560 0.764 0.519
0.600 0.092 0.096
0.600 0.408 0.596
0.626 0.611 0.931
0.626 0.889 0.431
0.754 0.241 0.457
0.754 0.259 0.957
0.755 0.105 0.391
0.755 0.395 0.891
0.835 0.551 0.763
0.835 0.949 0.263
0.965 0.104 0.658
0.965 0.396 0.158
0.044 0.074 0.774
0.044 0.426 0.274
0.160 0.671 0.050
0.160 0.829 0.550
0.343 0.172 0.464
0.343 0.328 0.964
0.403 0.643 0.522
0.403 0.857 0.022
0.408 0.504 0.221
0.408 0.996 0.721
0.592 0.004 0.279
0.592 0.496 0.779
0.597 0.143 0.978
0.597 0.357 0.478
0.657 0.672 0.036
0.657 0.828 0.536
0.840 0.171 0.450
0.840 0.329 0.950
0.956 0.574 0.726
0.956 0.926 0.226
```

Properties
- E_tot (eV/cell) = -292.8
- crystal system = monoclinic
- SG = No. 14

***

12.
Entry from Alexandria via LeMat-Bulk: a geometry-optimized KHO structure (PBE-GGA).

POSCAR file:
```
KHO
1.0
4.691 0.000 0.000
0.000 5.499 0.000
0.000 0.000 3.725
K H O
2 2 2
Direct
0.250 0.250 0.140
0.750 0.750 0.860
0.250 0.750 0.501
0.750 0.250 0.499
0.250 0.750 0.240
0.750 0.250 0.760
```

Properties
- E_tot (eV/cell) = -26.7
- crystal system = orthorhombic
- SG = No. 59